VASP calculation (PBE-GGA) on a geometry-optimized NbGaHSI structure.

SG = Cm, No. 8
E above lowest polymorph = 107 meV per atom

Cell lengths 4.9774, 3.3621, 13.8018 Å; angles 90.00, 109.90, 90.00 degrees
With the nearest neighbours (Å) after each atom.
Sites, in units of the cell vectors:
Nb: 0.0531 0.0000 0.9932  2 H 2.02
S: 0.0880 0.0000 0.3598  2 Ga 2.52, 2 Nb 2.54, 1 H 2.71
Ga: 0.4883 0.5000 0.4123  2 H 2.49, 2 S 2.52, 2 Nb 2.65-2.75
H: 0.8484 0.5000 0.0094  2 Nb 2.02
I: 0.4245 0.5000 0.1451  2 Nb 2.83, 1 H 2.84
S: 0.0880 0.5000 0.8598  2 Ga 2.52, 2 Nb 2.54, 1 H 2.71
Nb: 0.0531 0.5000 0.4932  2 H 2.02
Ga: 0.4883 0.0000 0.9123  2 H 2.49, 2 S 2.52, 2 Nb 2.65-2.75
H: 0.8484 0.0000 0.5094  2 Nb 2.02
I: 0.4245 0.0000 0.6451  2 Nb 2.83, 1 H 2.84

***

VASP calculation (PBE-GGA) on a geometry-optimized RbTl2In4 structure.

SG = I4/mmm, No. 139
calculated formation energy = 0.55 eV/atom
E above lowest polymorph = 604 meV per atom

Cell lengths 6.3292, 6.3292, 9.2098 Å; angles 69.90, 69.90, 90.00 degrees
With the nearest neighbours (Å) after each atom.
Sites, in units of the cell vectors:
In: 0.5000 0.0000 0.0000  2 Rb 3.16, 4 Tl 3.52
Rb: 0.0000 0.0000 0.0000  6 In 3.16-3.53
In: 0.7805 0.7805 0.4390  1 Tl 2.98
In: 0.2195 0.2195 0.5610  1 Tl 2.98
Tl: 0.4045 0.4045 0.1910  1 In 2.98, 1 Tl 3.08
In: 0.0000 0.5000 0.0000  2 Rb 3.16, 4 Tl 3.52
Tl: 0.5955 0.5955 0.8090  1 In 2.98, 1 Tl 3.08

***

VASP calculation (PBE-GGA) on a geometry-optimized Tb7YEr4 structure.

SG = C2/m, No. 12
calculated formation energy = 0.29 eV/atom
E above lowest polymorph = 200 meV per atom

Cell lengths 5.8665, 11.5092, 6.6696 Å; angles 83.56, 63.91, 75.23 degrees
With the nearest neighbours (Å) after each atom.
Sites, in units of the cell vectors:
Tb: 0.6330 0.4984 0.2356  2 Tb 3.17-3.27, 3 Er 3.26-3.46
Tb: 0.9399 0.3228 0.7974  4 Tb 3.27-3.55, 3 Er 3.60-3.65
Y: 0.0000 0.0000 0.0000  4 Tb 2.93-3.13
Tb: 0.5000 0.0000 0.0000  2 Y 2.93, 2 Tb 3.10
Tb: 0.0601 0.6772 0.2026  4 Tb 3.27-3.55, 3 Er 3.60-3.65
Tb: 0.2126 0.0773 0.4976  4 Tb 3.10-3.40, 1 Y 3.13, 4 Er 3.25-3.36
Er: 0.2471 0.3173 0.1884  4 Tb 3.25-3.57, 2 Er 3.63
Er: 0.3634 0.7751 0.4981  7 Tb 3.36-3.60, 2 Er 3.63
Tb: 0.3670 0.5016 0.7644  2 Tb 3.17-3.27, 3 Er 3.26-3.46
Tb: 0.7874 0.9227 0.5024  4 Tb 3.10-3.40, 1 Y 3.13, 4 Er 3.25-3.36
Er: 0.7529 0.6827 0.8116  4 Tb 3.25-3.57, 2 Er 3.63
Er: 0.6366 0.2249 0.5019  7 Tb 3.36-3.60, 2 Er 3.63

***

VASP calculation (PBE-GGA) on a geometry-optimized BaWN3 structure.

SG = R-3, No. 148
raw formation energy = -0.3241 eV/atom

Cell lengths 6.6046, 6.6046, 6.6046 Å; angles 50.95, 50.95, 50.95 degrees
With the nearest neighbours (Å) after each atom.
Sites, in units of the cell vectors:
N: 0.0671 0.6096 0.5362  1 W 1.90
N: 0.4638 0.9329 0.3904  1 W 1.90
N: 0.6096 0.5362 0.0671  1 W 1.90
W: 0.3522 0.3522 0.3522  3 N 1.90
N: 0.9329 0.3904 0.4638  1 W 1.90
N: 0.3904 0.4638 0.9329  1 W 1.90
W: 0.6478 0.6478 0.6478  3 N 1.90
Ba: 0.8757 0.8757 0.8757  6 N 2.79-2.88
N: 0.5362 0.0671 0.6096  1 W 1.90
Ba: 0.1243 0.1243 0.1243  6 N 2.79-2.88